#a
First-principles (PBE-GGA) data for crystalline YZnCuPt at its relaxed geometry, as listed in the Open Quantum Materials Database.

Summary:
SG	F-43m
total magnetization	0.000	μB/f.u.

Cell lengths 4.658, 4.658, 4.658 Å; angles 60.00, 60.00, 60.00 degrees
Atoms (fractional coordinates):
Y1 0.000 0.000 0.000
Zn1 0.250 0.250 0.250
Cu1 0.500 0.500 0.500
Pt1 0.750 0.750 0.750

#b
First-principles (PBE-GGA) data for crystalline YZnCuPt at its relaxed geometry, as listed in the Open Quantum Materials Database.

Summary:
SG	F-43m
total magnetization	0.001	μB/f.u.

Cell lengths 4.640, 4.640, 4.640 Å; angles 60.00, 60.00, 60.00 degrees
Atoms (fractional coordinates):
Y1 0.000 0.000 0.000
Zn1 0.500 0.500 0.500
Cu1 0.750 0.750 0.750
Pt1 0.250 0.250 0.250

Relative stability in eV/atom, measured from the most stable structure: #a 0.095; #b 0.000

#a
First-principles (PBE-GGA) data for crystalline PuCuRe at its relaxed geometry, as listed in the Open Quantum Materials Database.

Summary:
SG	F-43m
total magnetization	3.960	μB/f.u.

Cell lengths 4.326, 4.326, 4.326 Å; angles 60.00, 60.00, 60.00 degrees
Atoms (fractional coordinates):
Pu1 0.000 0.000 0.000
Cu1 0.500 0.500 0.500
Re1 0.250 0.250 0.250

#b
First-principles (PBE-GGA) data for crystalline PuCuRe at its relaxed geometry, as listed in the Open Quantum Materials Database.

Summary:
SG	F-43m
total magnetization	3.593	μB/f.u.

Cell lengths 4.322, 4.322, 4.322 Å; angles 60.00, 60.00, 60.00 degrees
Atoms (fractional coordinates):
Pu1 0.000 0.000 0.000
Cu1 0.750 0.750 0.750
Re1 0.250 0.250 0.250

Relative stability in eV/atom, measured from the most stable structure: #a 0.000; #b 0.404